Here is a geometry-optimized SrBiPt3 structure from the Alexandria database. Energies are from GGA-PBE.

## Properties
relative energy among the computed polymorphs = 0 meV/atom

Structure (extended XYZ):
```
5
Lattice="-0.938 1.299 -4.907 -2.691 -4.358 -0.639 -4.304 2.442 1.469" Properties=species:S:1:pos:R:3 pbc="T T T"
Sr -3.966 -0.309 -2.038
Bi 0.000 0.000 0.000
Pt -1.345 -2.179 -0.320
Pt -2.152 1.221 0.735
Pt -0.469 0.649 -2.453
```



Here is a geometry-optimized Sr2TaBiPt structure from the Alexandria database. Energies are from GGA-PBE.

Structure (extended XYZ):
```
5
Lattice="5.922 0.000 0.000 0.000 5.271 0.000 0.000 0.000 5.922" Properties=species:S:1:pos:R:3 pbc="T T T"
Sr 0.000 0.000 2.961
Sr 2.961 0.000 0.000
Bi 0.000 2.636 0.000
Pt 2.961 2.636 2.961
Ta 0.000 0.000 0.000
```



Here is a geometry-optimized SrV2BiPt structure from the Alexandria database. Energies are from GGA-PBE.

Structure (extended XYZ):
```
5
Lattice="5.153 0.000 0.000 0.000 6.216 0.000 0.000 0.000 5.153" Properties=species:S:1:pos:R:3 pbc="T T T"
Sr 0.000 3.108 0.000
Bi 0.000 0.000 0.000
Pt 2.576 3.108 2.576
V 0.000 0.000 2.576
V 2.576 0.000 0.000
```



Here is a geometry-optimized SrYBiPt2 structure from the Alexandria database. Energies are from GGA-PBE.

Structure (extended XYZ):
```
5
Lattice="5.168 0.000 0.000 0.000 5.721 0.000 0.000 0.000 5.168" Properties=species:S:1:pos:R:3 pbc="T T T"
Y 0.000 2.861 0.000
Sr 0.000 0.000 0.000
Bi 2.584 2.861 2.584
Pt 0.000 0.000 2.584
Pt 2.584 0.000 0.000
```



| no. | electronic total energy (eV/atom) | ΔE_f (meV/atom) |
| --- | --- | --- |
| 1 | -4.65 | 83 |
| 2 | -4.12 | 907 |
| 3 | -4.84 | 1128 |
| 4 | -3.91 | 909 |